(1)
## Dy4YSc7 (PBE)

Data for a geometry-optimized Dy4YSc7 structure.

Cell lengths 11.3761, 5.5480, 12.0088 Å; angles 90.00, 115.91, 90.00 degrees
Space group C2/m (No. 12)
Inequivalent atoms, fractional coordinates:
Dy 0.0920 0.0000 0.2983 x4
Dy 0.1349 0.5000 0.7750 x4
Y 0.0000 0.5000 0.0000 x2
Sc 0.0000 0.0000 0.0000 x2
Sc 0.1284 0.5000 0.4846 x4
Sc 0.1580 0.0000 0.6224 x4
Sc 0.2064 0.0000 0.9168 x4

Results
Calculated total energy, Ry/atom: -0.404
Crystal system: monoclinic
DOS at the Fermi energy, states/eV per atom: 1.88
Formation energy from the elements, eV per atom: 0.273

=====

(2)
## DyY2Sc (PBE)

Data for a geometry-optimized DyY2Sc structure.

Cell lengths 3.5072, 3.5072, 9.7696 Å; angles 90.00, 90.00, 90.00 degrees
Space group P4/mmm (No. 123)
Inequivalent atoms, fractional coordinates:
Dy 0.0000 0.0000 0.0000 x1
Y 0.5000 0.5000 0.2606 x2
Sc 0.0000 0.0000 0.5000 x1

Results
Calculated total energy, Ry/atom: -0.435
Crystal system: tetragonal
DOS at the Fermi energy, states/eV per atom: 1.56
Offset from the most stable computed form, eV/atom: 0.021
Formation energy from the elements, eV per atom: 0.046

=====

(3)
## DyY3Sc2 (PBE)

Data for a geometry-optimized DyY3Sc2 structure.

Cell lengths 14.3980, 9.7172, 5.4460 Å; angles 90.00, 90.00, 90.00 degrees
Space group Cmcm (No. 63)
Inequivalent atoms, fractional coordinates:
Dy 0.0000 0.2196 0.2500 x4
Y 0.0000 0.4044 0.7500 x4
Y 0.2434 0.3683 0.7500 x8
Sc 0.1053 0.0940 0.7500 x8

Results
Calculated total energy, Ry/atom: -0.427
Crystal system: orthorhombic
DOS at the Fermi energy, states/eV per atom: 1.96
Formation energy from the elements, eV per atom: 0.296

=====

(4)
## Dy2Y12Sc5 (PBE)

Data for a geometry-optimized Dy2Y12Sc5 structure.

Cell lengths 15.9403, 8.7400, 8.4086 Å; angles 90.00, 91.01, 90.00 degrees
Space group C2/m (No. 12)
Inequivalent atoms, fractional coordinates:
Dy 0.0000 0.2137 0.0000 x4
Y 0.0551 0.5000 0.2737 x4
Y 0.1092 0.2921 0.6136 x8
Y 0.1668 0.0000 0.8706 x4
Y 0.1866 0.2032 0.2242 x8
Sc 0.0000 0.0000 0.5000 x2
Sc 0.1456 0.5000 0.9402 x4
Sc 0.2444 0.0000 0.5490 x4

Results
Calculated total energy, Ry/atom: -0.447
Crystal system: monoclinic
DOS at the Fermi energy, states/eV per atom: 1.73
Formation energy from the elements, eV per atom: 0.157

=====

(5)
## Dy2Y3Sc (PBE)

Data for a geometry-optimized Dy2Y3Sc structure.

Cell lengths 17.5124, 3.4414, 14.0226 Å; angles 90.00, 117.35, 90.00 degrees
Space group C2/m (No. 12)
Inequivalent atoms, fractional coordinates:
Dy 0.1556 0.0000 0.4698 x4
Dy 0.1801 0.5000 0.8795 x4
Y 0.0366 0.5000 0.2190 x4
Y 0.0995 0.0000 0.0262 x4
Y 0.2418 0.0000 0.2940 x4
Sc 0.0627 0.0000 0.6407 x4

Results
Calculated total energy, Ry/atom: -0.417
Crystal system: monoclinic
DOS at the Fermi energy, states/eV per atom: 1.80
Offset from the most stable computed form, eV/atom: 0.105
Formation energy from the elements, eV per atom: 0.147

=====

(6)
## Dy4Y4Sc3 (PBE)

Data for a geometry-optimized Dy4Y4Sc3 structure.

Cell lengths 3.4222, 5.4911, 17.6860 Å; angles 81.10, 84.45, 90.00 degrees
Space group P-1 (No. 2)
Inequivalent atoms, fractional coordinates:
Dy 0.0451 0.0447 0.4091 x2
Dy 0.1778 0.6782 0.1435 x2
Y 0.0888 0.5881 0.3219 x2
Y 0.2314 0.2312 0.0376 x2
Sc 0.3651 0.8653 0.7703 x2
Sc 0.5000 0.5000 0.5000 x1

Results
Calculated total energy, Ry/atom: -0.415
Crystal system: triclinic
DOS at the Fermi energy, states/eV per atom: 2.10
Formation energy from the elements, eV per atom: 0.101

=====

(7)
## Dy8YSc3 (PBE)

Data for a geometry-optimized Dy8YSc3 structure.

Cell lengths 6.0115, 7.7645, 8.5172 Å; angles 111.43, 90.05, 104.91 degrees
Space group P1 (No. 1)
Inequivalent atoms, fractional coordinates:
Dy 0.0000 0.0000 0.0000 x1
Dy 0.0766 0.7486 0.5809 x1
Dy 0.1681 0.5073 0.1679 x1
Dy 0.2523 0.2554 0.7481 x1
Dy 0.3331 0.0047 0.3327 x1
Dy 0.5865 0.2624 0.0846 x1
Dy 0.6670 0.0012 0.6625 x1
Dy 0.9169 0.2555 0.4183 x1
Y 0.4208 0.7483 0.9129 x1
Sc 0.5039 0.5043 0.4980 x1
Sc 0.7501 0.7520 0.2492 x1
Sc 0.8321 0.5046 0.8329 x1

Results
Calculated total energy, Ry/atom: -0.378
Crystal system: triclinic
DOS at the Fermi energy, states/eV per atom: 1.52
Formation energy from the elements, eV per atom: 0.044

=====

(8)
## Dy5YSc3 (PBE)

Data for a geometry-optimized Dy5YSc3 structure.

Cell lengths 14.5705, 11.1277, 9.5523 Å; angles 90.00, 129.58, 90.00 degrees
Space group C2/m (No. 12)
Inequivalent atoms, fractional coordinates:
Dy 0.0000 0.2442 0.0000 x4
Dy 0.1373 0.2471 0.7408 x8
Dy 0.2172 0.5000 0.0321 x4
Dy 0.2223 0.0000 0.2336 x4
Y 0.2463 0.0000 0.5952 x4
Sc 0.0000 0.0000 0.5000 x2
Sc 0.0000 0.5000 0.0000 x2
Sc 0.0123 0.0000 0.8209 x4
Sc 0.0200 0.5000 0.3643 x4

Results
Calculated total energy, Ry/atom: -0.361
Crystal system: monoclinic
DOS at the Fermi energy, states/eV per atom: 1.47
Formation energy from the elements, eV per atom: 0.477

=====

(9)
## DyY2Sc5 (PBE)

Data for a geometry-optimized DyY2Sc5 structure.

Cell lengths 6.8049, 6.8049, 9.3846 Å; angles 90.00, 90.00, 90.00 degrees
Space group I4mm (No. 107)
Inequivalent atoms, fractional coordinates:
Dy 0.0000 0.0000 0.0000 x2
Y 0.0000 0.5000 0.9995 x4
Sc 0.0000 0.0000 0.4991 x2
Sc 0.2503 0.2503 0.2495 x8

Results
Calculated total energy, Ry/atom: -0.447
Crystal system: tetragonal
DOS at the Fermi energy, states/eV per atom: 1.99
Offset from the most stable computed form, eV/atom: 0.037
Formation energy from the elements, eV per atom: 0.064

=====

(10)
## Dy4YSc (PBE)

Data for a geometry-optimized Dy4YSc structure.

Cell lengths 4.9844, 4.9844, 8.8493 Å; angles 90.00, 90.00, 90.00 degrees
Space group P4/mmm (No. 123)
Inequivalent atoms, fractional coordinates:
Dy 0.0000 0.5000 0.2119 x4
Y 0.0000 0.0000 0.5000 x1
Sc 0.5000 0.5000 0.0000 x1

Results
Calculated total energy, Ry/atom: -0.332
Crystal system: tetragonal
DOS at the Fermi energy, states/eV per atom: 1.60
Offset from the most stable computed form, eV/atom: 0.000
Formation energy from the elements, eV per atom: 0.690

=====

(11)
## DyYScZn (PBE)

Data for a geometry-optimized DyYScZn structure.

Cell lengths 7.3809, 7.3809, 7.3809 Å; angles 90.00, 90.00, 90.00 degrees
Space group F-43m (No. 216)
Inequivalent atoms, fractional coordinates:
Dy 0.0000 0.0000 0.0000 x4
Y 0.0000 0.0000 0.5000 x4
Sc 0.2500 0.2500 0.2500 x4
Zn 0.2500 0.2500 0.7500 x4

Results
Calculated total energy, Ry/atom: -0.344
Crystal system: cubic
DOS at the Fermi energy, states/eV per atom: 1.13
Formation energy from the elements, eV per atom: -0.010

=====

(12)
## Dy2YZrSc4 (PBE)

Data for a geometry-optimized Dy2YZrSc4 structure.

Cell lengths 4.7807, 4.7974, 9.2914 Å; angles 90.00, 90.00, 90.00 degrees
Space group Pmmm (No. 47)
Inequivalent atoms, fractional coordinates:
Dy 0.0000 0.0000 0.0000 x1
Dy 0.5000 0.5000 0.5000 x1
Y 0.0000 0.0000 0.5000 x1
Zr 0.5000 0.5000 0.0000 x1
Sc 0.0000 0.5000 0.2377 x2
Sc 0.5000 0.0000 0.2379 x2

Results
Calculated total energy, Ry/atom: -0.451
Crystal system: orthorhombic
DOS at the Fermi energy, states/eV per atom: 1.56
Formation energy from the elements, eV per atom: 0.056

=====

> The lowest formation energy from the elements belongs to which entry?

DyYScZn